No. 1
CdTcNi PBE-GGA relaxed; electronic total energy = -5.5871 eV per atom; energy above the lowest structure with this stoichiometry = 0.0000 eV per atom; space-group type = P4/nmm; total magnetic moment = 0.000 μB/f.u.; DFT formation energy = 0.100 eV/atom
1.0
2.7886 0.0000 0.0000
0.0000 2.7886 0.0000
0.0000 0.0000 11.7871
Tc Ni Cd
2 2 2
Direct
0.0000 0.5000 0.9217
0.5000 0.0000 0.0783
0.5000 0.0000 0.7764
0.0000 0.5000 0.2236
0.0000 0.5000 0.6113
0.5000 0.0000 0.3887

=====

No. 2
Dy3Zr PBE-GGA relaxed; electronic total energy = -5.4965 eV per atom; energy above the lowest structure with this stoichiometry = 0.0131 eV per atom; space-group type = Pm-3m; total magnetic moment = 0.000 μB/f.u.; DFT formation energy = 0.092 eV/atom
1.0
4.8602 0.0000 0.0000
0.0000 4.8602 0.0000
0.0000 0.0000 4.8602
Dy Zr
3 1
Direct
0.5000 0.5000 0.0000
0.0000 0.5000 0.5000
0.5000 0.0000 0.5000
0.0000 0.0000 0.0000

=====

No. 3
CeDy8Th6 PBE-GGA relaxed; electronic total energy = -5.6759 eV per atom; space-group type = R-3; total magnetic moment = 0.001 μB/f.u.; DFT formation energy = 0.142 eV/atom
1.0
-7.9708 1.7326 -2.9418
-6.7901 -2.0055 5.0062
-4.4693 6.4464 3.6958
Th Dy Ce
6 8 1
Direct
0.2627 0.0725 0.5458
0.7373 0.9275 0.4542
0.5458 0.2627 0.0725
0.0725 0.5458 0.2627
0.9275 0.4542 0.7373
0.4542 0.7373 0.9275
0.5796 0.5796 0.5796
0.4204 0.4204 0.4204
0.6747 0.8045 0.1191
0.8045 0.1191 0.6747
0.1191 0.6747 0.8045
0.1955 0.8809 0.3253
0.8809 0.3253 0.1955
0.3253 0.1955 0.8809
0.0000 0.0000 0.0000

=====

No. 4
EuGaRu PBE-GGA relaxed; electronic total energy = -7.7506 eV per atom; space-group type = I4mm; total magnetic moment = 6.970 μB/f.u.; DFT formation energy = -0.225 eV/atom
1.0
3.3832 0.0000 0.0000
0.0000 3.3832 0.0000
-1.6916 -1.6916 5.3122
Eu Ru Ga
1 1 1
Direct
0.0024 0.0024 0.0048
0.7075 0.7075 0.4150
0.2901 0.2901 0.5802